# 1
{"formula": "Cd2GeRh3", "functional": "GGA-PBE", "state": "optimized geometry", "lattice_angstrom": [[4.4315, 0.0000, 0.0179], [2.2157, 6.6177, 0.0090], [-0.0265, 0.0000, 6.5107]], "species": ["Rh", "Rh", "Rh", "Rh", "Rh", "Rh", "Ge", "Ge", "Cd", "Cd", "Cd", "Cd"], "frac_coords": [[0.1762, 0.6477, 0.7806], [0.8238, 0.3523, 0.2194], [0.8239, 0.3523, 0.7806], [0.5000, 0.0000, 0.2321], [0.1761, 0.6477, 0.2194], [0.5000, 0.0000, 0.7679], [0.3399, 0.3202, 0.0000], [0.6601, 0.6798, 0.0000], [0.3348, 0.3304, 0.5000], [0.6652, 0.6696, 0.5000], [0.0000, 0.0000, 0.0000], [0.0000, 0.0000, 0.5000]], "e_form_ev_per_atom": -0.30}

# 2
{"formula": "CdGeRuRh", "functional": "GGA-PBE", "state": "optimized geometry", "lattice_angstrom": [[4.4272, 0.0000, 0.0000], [2.2136, 3.8341, 0.0000], [2.2136, 1.2780, 3.6148]], "species": ["Ge", "Ru", "Cd", "Rh"], "frac_coords": [[0.0000, 0.0000, 0.0000], [0.7500, 0.7500, 0.7500], [0.5000, 0.5000, 0.5000], [0.2500, 0.2500, 0.2500]], "e_form_ev_per_atom": -0.06}

# 3
{"formula": "Cd2GeRuRh", "functional": "GGA-PBE", "state": "optimized geometry", "lattice_angstrom": [[5.0835, 0.0000, 0.0000], [0.0000, 4.6300, 0.0000], [0.0000, 0.0000, 5.0835]], "species": ["Rh", "Ge", "Cd", "Cd", "Ru"], "frac_coords": [[0.0000, 0.0000, 0.0000], [0.5000, 0.5000, 0.5000], [0.5000, 0.0000, 0.0000], [0.0000, 0.0000, 0.5000], [0.0000, 0.5000, 0.0000]], "e_form_ev_per_atom": 0.91}

# 4
{"formula": "ScCdGeRh2", "functional": "GGA-PBE", "state": "optimized geometry", "lattice_angstrom": [[4.6387, 0.0000, 0.0000], [0.0000, 5.3333, 0.0000], [0.0000, 0.0000, 4.6387]], "species": ["Cd", "Ge", "Rh", "Rh", "Sc"], "frac_coords": [[0.0000, 0.5000, 0.0000], [0.5000, 0.5000, 0.5000], [0.5000, 0.0000, 0.0000], [0.0000, 0.0000, 0.5000], [0.0000, 0.0000, 0.0000]], "e_form_ev_per_atom": 0.75}

# 5
{"formula": "Cd2Si2GeRh5", "functional": "GGA-PBE", "state": "optimized geometry", "lattice_angstrom": [[3.2511, 0.0000, 0.0000], [0.0000, 9.7155, 0.0000], [0.0000, 0.0000, 9.7155]], "species": ["Si", "Si", "Si", "Si", "Rh", "Rh", "Rh", "Rh", "Rh", "Rh", "Rh", "Rh", "Rh", "Rh", "Ge", "Ge", "Cd", "Cd", "Cd", "Cd"], "frac_coords": [[0.0000, 0.1299, 0.6299], [0.0000, 0.8701, 0.3701], [0.0000, 0.3701, 0.1299], [0.0000, 0.6299, 0.8701], [0.5000, 0.4253, 0.2991], [0.5000, 0.9253, 0.2009], [0.5000, 0.7009, 0.4253], [0.5000, 0.0000, 0.5000], [0.5000, 0.5000, 0.0000], [0.5000, 0.7991, 0.9253], [0.5000, 0.2991, 0.5747], [0.5000, 0.0747, 0.7991], [0.5000, 0.2009, 0.0747], [0.5000, 0.5747, 0.7009], [0.0000, 0.5000, 0.5000], [0.0000, 0.0000, 0.0000], [0.0000, 0.6716, 0.1716], [0.0000, 0.3284, 0.8284], [0.0000, 0.1716, 0.3284], [0.0000, 0.8284, 0.6716]], "formation_energy_uncorrected_mev_per_atom": -487.1}

# 6
{"formula": "Ta2CdGeRh", "functional": "GGA-PBE", "state": "optimized geometry", "lattice_angstrom": [[-3.9586, 0.8664, 2.4899], [-2.1019, -3.6529, -2.0707], [1.5549, -2.8602, 3.4673]], "species": ["Rh", "Ta", "Ta", "Ge", "Cd"], "frac_coords": [[0.5000, 0.5000, 0.5000], [0.0000, 0.0000, 0.5000], [0.5000, 0.0000, 0.0000], [0.0000, 0.0000, 0.0000], [0.0000, 0.5000, 0.0000]], "e_form_ev_per_atom": 1.21}

# 7
{"formula": "Tb2CdGe3Rh4", "functional": "GGA-PBE", "state": "optimized geometry", "lattice_angstrom": [[4.1181, 0.0000, 0.0000], [0.0000, 4.1181, 0.0000], [0.0000, 0.0000, 10.9628]], "species": ["Ge", "Ge", "Ge", "Tb", "Tb", "Cd", "Rh", "Rh", "Rh", "Rh"], "frac_coords": [[0.0000, 0.0000, 0.5000], [0.0000, 0.5000, 0.1246], [0.5000, 0.0000, 0.8754], [0.5000, 0.0000, 0.2420], [0.0000, 0.5000, 0.7580], [0.5000, 0.5000, 0.5000], [0.0000, 0.0000, 0.0000], [0.0000, 0.5000, 0.3445], [0.5000, 0.5000, 0.0000], [0.5000, 0.0000, 0.6555]], "e_form_ev_per_atom": -0.74}

# 8
{"formula": "CdTcGeRh2", "functional": "GGA-PBE", "state": "optimized geometry", "lattice_angstrom": [[4.5404, 0.0000, 0.0000], [0.0000, 4.8916, 0.0000], [0.0000, 0.0000, 4.5404]], "species": ["Tc", "Rh", "Rh", "Ge", "Cd"], "frac_coords": [[0.5000, 0.5000, 0.5000], [0.0000, 0.0000, 0.5000], [0.5000, 0.0000, 0.0000], [0.0000, 0.0000, 0.0000], [0.0000, 0.5000, 0.0000]], "e_form_ev_per_atom": 0.97}

# 9
{"formula": "Th2CdGe4Rh3", "functional": "GGA-PBE", "state": "optimized geometry", "lattice_angstrom": [[4.3125, 0.0000, 0.0000], [0.0000, 4.3125, 0.0000], [0.0000, 0.0000, 10.3958]], "species": ["Ge", "Ge", "Ge", "Ge", "Th", "Th", "Rh", "Rh", "Rh", "Cd"], "frac_coords": [[0.5000, 0.0000, 0.6478], [0.0000, 0.5000, 0.3522], [0.0000, 0.0000, 0.0000], [0.5000, 0.5000, 0.0000], [0.5000, 0.0000, 0.2391], [0.0000, 0.5000, 0.7609], [0.0000, 0.5000, 0.1186], [0.5000, 0.0000, 0.8814], [0.0000, 0.0000, 0.5000], [0.5000, 0.5000, 0.5000]], "e_form_ev_per_atom": -0.72}

# 10
{"formula": "Th4CdGe3Rh12", "functional": "GGA-PBE", "state": "optimized geometry", "lattice_angstrom": [[-5.8020, -5.0522, -2.3933], [6.9746, -2.0935, -3.4477], [0.7474, -0.3715, 8.0136]], "species": ["Rh", "Rh", "Rh", "Rh", "Rh", "Rh", "Rh", "Rh", "Rh", "Rh", "Rh", "Rh", "Th", "Th", "Th", "Th", "Ge", "Ge", "Ge", "Cd"], "frac_coords": [[0.7500, 0.2500, 0.5000], [0.2614, 0.0000, 0.2614], [0.5000, 0.2500, 0.7500], [0.7386, 0.7386, 0.0000], [0.7500, 0.5000, 0.2500], [0.0000, 0.7386, 0.7386], [0.2500, 0.7500, 0.5000], [0.5000, 0.7500, 0.2500], [0.2500, 0.5000, 0.7500], [0.0000, 0.2614, 0.2614], [0.7386, 0.0000, 0.7386], [0.2614, 0.2614, 0.0000], [0.0000, 0.0000, 0.5000], [0.5000, 0.0000, 0.0000], [0.0000, 0.5000, 0.0000], [0.5000, 0.5000, 0.5000], [0.5000, 0.5000, 0.0000], [0.5000, 0.0000, 0.5000], [0.0000, 0.5000, 0.5000], [0.0000, 0.0000, 0.0000]], "e_form_ev_per_atom": -0.25}

# 11
{"formula": "TlCd2Ge2Rh5", "functional": "GGA-PBE", "state": "optimized geometry", "lattice_angstrom": [[3.5186, 0.0000, 0.0000], [0.0000, 9.8048, 0.0000], [0.0000, 0.0000, 9.8048]], "species": ["Rh", "Rh", "Rh", "Rh", "Rh", "Rh", "Rh", "Rh", "Rh", "Rh", "Tl", "Tl", "Ge", "Ge", "Ge", "Ge", "Cd", "Cd", "Cd", "Cd"], "frac_coords": [[0.5000, 0.0758, 0.7917], [0.5000, 0.7083, 0.4242], [0.5000, 0.2083, 0.0758], [0.5000, 0.5000, 0.0000], [0.5000, 0.5758, 0.7083], [0.5000, 0.4242, 0.2917], [0.5000, 0.2917, 0.5758], [0.5000, 0.7917, 0.9242], [0.5000, 0.9242, 0.2083], [0.5000, 0.0000, 0.5000], [0.0000, 0.0000, 0.0000], [0.0000, 0.5000, 0.5000], [0.0000, 0.3728, 0.1272], [0.0000, 0.8728, 0.3728], [0.0000, 0.1272, 0.6272], [0.0000, 0.6272, 0.8728], [0.0000, 0.6724, 0.1724], [0.0000, 0.8276, 0.6724], [0.0000, 0.3276, 0.8276], [0.0000, 0.1724, 0.3276]], "e_form_ev_per_atom": -0.22}

# 12
{"formula": "TlCd2GeRh", "functional": "GGA-PBE", "state": "optimized geometry", "lattice_angstrom": [[-4.3835, -1.4131, -2.5606], [0.9812, -5.0568, 1.1110], [-2.4346, 0.3954, 3.9496]], "species": ["Rh", "Cd", "Cd", "Tl", "Ge"], "frac_coords": [[0.0000, 0.0000, 0.0000], [0.5000, 0.0000, 0.0000], [0.0000, 0.5000, 0.0000], [0.5000, 0.5000, 0.5000], [0.0000, 0.0000, 0.5000]], "e_form_ev_per_atom": -0.04}